[1]
{"formula": "SnH5Os", "functional": "GGA-PBE", "state": "optimized geometry", "final_energy_ev_per_atom": -4.33, "dos_ef_per_ev_cell": 4.14, "lattice_angstrom": [[4.9630, -0.4758, 1.9155], [-0.6636, 4.9414, 1.9155], [1.0641, 1.1052, 7.4661]], "species": ["Sn", "Sn", "H", "H", "H", "H", "H", "H", "H", "H", "H", "H", "Os", "Os"], "frac_coords": [[0.9597, 0.5403, 0.7500], [0.0403, 0.4597, 0.2500], [0.2578, 0.9355, 0.0729], [0.7182, 0.5753, 0.5948], [0.3752, 0.1248, 0.7500], [0.5645, 0.2422, 0.4271], [0.0753, 0.2182, 0.0948], [0.4355, 0.7578, 0.5729], [0.9247, 0.7818, 0.9052], [0.6248, 0.8752, 0.2500], [0.2818, 0.4247, 0.4052], [0.7422, 0.0645, 0.9271], [0.5000, 0.5000, 0.5000], [0.0000, 0.0000, 0.0000]]}

***

[2]
{"formula": "Sn3HOs", "functional": "GGA-PBE", "state": "optimized geometry", "dos_ef_per_ev_cell": 2.52, "polymorph_energy_ev_per_atom": 0.000, "lattice_angstrom": [[5.1123, 0.0000, 0.0000], [0.0000, 5.1123, 0.0000], [0.0000, 0.0000, 5.1123]], "species": ["Sn", "Sn", "Sn", "H", "Os"], "frac_coords": [[0.0000, 0.0000, 0.5000], [0.0000, 0.5000, 0.0000], [0.5000, 0.0000, 0.0000], [0.5000, 0.5000, 0.5000], [0.0000, 0.0000, 0.0000]]}

***

[3]
{"formula": "Sn3HOs", "functional": "GGA-PBE", "state": "optimized geometry", "dos_ef_per_ev_cell": 3.30, "polymorph_energy_ev_per_atom": 0.192, "lattice_angstrom": [[-0.1778, 3.4539, 2.8565], [-3.3619, -1.9934, 2.2011], [2.9643, -2.0536, 2.6676]], "species": ["Os", "H", "Sn", "Sn", "Sn"], "frac_coords": [[0.5000, 0.5000, 0.5000], [0.0000, 0.0000, 0.0000], [0.5000, 0.0000, 0.0000], [0.0000, 0.5000, 0.0000], [0.0000, 0.0000, 0.5000]]}

***

[4]
{"formula": "V2SnHOs", "functional": "GGA-PBE", "state": "optimized geometry", "final_energy_ev_per_atom": -7.32, "dos_ef_per_ev_cell": 4.93, "lattice_angstrom": [[3.9598, 0.0000, 0.0000], [0.0000, 3.9598, 0.0000], [0.0000, 0.0000, 4.0401]], "species": ["Sn", "V", "V", "Os", "H"], "frac_coords": [[0.5000, 0.5000, 0.5000], [0.0000, 0.5000, 0.0000], [0.5000, 0.0000, 0.0000], [0.0000, 0.0000, 0.5000], [0.0000, 0.0000, 0.0000]]}

***

[5]
{"formula": "Zn2SnHOs", "functional": "GGA-PBE", "state": "optimized geometry", "final_energy_ev_per_atom": -3.83, "dos_ef_per_ev_cell": 2.26, "lattice_angstrom": [[-3.6596, 0.4366, -2.1869], [-1.4821, -2.8225, 1.9168], [-1.4344, 2.7571, 2.9507]], "species": ["Zn", "Zn", "Os", "H", "Sn"], "frac_coords": [[0.5000, 0.0000, 0.0000], [0.0000, 0.0000, 0.5000], [0.0000, 0.5000, 0.0000], [0.0000, 0.0000, 0.0000], [0.5000, 0.5000, 0.5000]]}

***

[6]
{"formula": "SrHOs3", "functional": "GGA-PBE", "state": "optimized geometry", "dos_ef_per_ev_cell": 4.84, "polymorph_energy_ev_per_atom": 3.174, "lattice_angstrom": [[5.0801, 0.0000, 0.0000], [0.0000, 5.0801, 0.0000], [0.0000, 0.0000, 5.0801]], "species": ["Os", "Os", "Os", "H", "Sr"], "frac_coords": [[0.5000, 0.0000, 0.0000], [0.0000, 0.5000, 0.0000], [0.0000, 0.0000, 0.5000], [0.5000, 0.5000, 0.5000], [0.0000, 0.0000, 0.0000]]}

***

[7]
{"formula": "SrH3Os", "functional": "GGA-PBE", "state": "optimized geometry", "final_energy_ev_per_atom": -4.76, "dos_ef_per_ev_cell": 1.40, "lattice_angstrom": [[3.7649, 0.0000, 0.0000], [0.0000, 3.7649, 0.0000], [0.0000, 0.0000, 3.7649]], "species": ["H", "H", "H", "Os", "Sr"], "frac_coords": [[0.0000, 0.0000, 0.5000], [0.0000, 0.5000, 0.0000], [0.5000, 0.0000, 0.0000], [0.0000, 0.0000, 0.0000], [0.5000, 0.5000, 0.5000]]}

***

[8]
{"formula": "SrH2Os", "functional": "GGA-PBE", "state": "optimized geometry", "dos_ef_per_ev_cell": 3.97, "polymorph_energy_ev_per_atom": 0.772, "lattice_angstrom": [[2.0133, -2.2477, 2.9815], [-1.8744, -0.7272, 3.7353], [-1.3378, -3.9051, 0.9771]], "species": ["H", "H", "Os", "Sr"], "frac_coords": [[0.7500, 0.7500, 0.7500], [0.2500, 0.2500, 0.2500], [0.5000, 0.5000, 0.5000], [0.0000, 0.0000, 0.0000]]}